(1)
# ScInRe2Te | Alexandria via LeMat-Bulk | PBE | relaxed
data_ScInRe2Te
_chemical_formula_sum 'Sc1 In1 Re2 Te1'
_cell_length_a 4.915
_cell_length_b 5.124
_cell_length_c 4.915
_cell_angle_alpha 90.00
_cell_angle_beta 90.00
_cell_angle_gamma 90.00
_symmetry_space_group_name_H-M 'P 1'
_symmetry_Int_Tables_number 1
loop_
_symmetry_equiv_pos_as_xyz
'x,y,z'
loop_
_atom_site_label
_atom_site_type_symbol
_atom_site_fract_x
_atom_site_fract_y
_atom_site_fract_z
_atom_site_occupancy
Sc1 Sc 0.000 0.500 0.000 1
Re1 Re 0.000 0.000 0.500 1
Re2 Re 0.500 0.000 0.000 1
Te1 Te 0.500 0.500 0.500 1
In1 In 0.000 0.000 0.000 1
# SG: P4/mmm, No. 123
# Formation energy from raw total energies in eV/atom: 1.8882
# Crystal system: tetragonal

(2)
# Li2LaZn3 | Alexandria via LeMat-Bulk | PBE | relaxed
data_Li2LaZn3
_chemical_formula_sum 'Li4 La2 Zn6'
_cell_length_a 5.083
_cell_length_b 6.819
_cell_length_c 6.819
_cell_angle_alpha 95.35
_cell_angle_beta 90.00
_cell_angle_gamma 90.00
_symmetry_space_group_name_H-M 'P 1'
_symmetry_Int_Tables_number 1
loop_
_symmetry_equiv_pos_as_xyz
'x,y,z'
loop_
_atom_site_label
_atom_site_type_symbol
_atom_site_fract_x
_atom_site_fract_y
_atom_site_fract_z
_atom_site_occupancy
Li1 Li 0.500 0.776 0.224 1
Li2 Li 0.000 0.776 0.224 1
Li3 Li 0.000 0.224 0.776 1
Li4 Li 0.500 0.224 0.776 1
La1 La 0.250 0.298 0.298 1
La2 La 0.750 0.702 0.702 1
Zn1 Zn 0.750 0.451 0.079 1
Zn2 Zn 0.750 0.079 0.451 1
Zn3 Zn 0.250 0.549 0.921 1
Zn4 Zn 0.750 0.065 0.065 1
Zn5 Zn 0.250 0.935 0.935 1
Zn6 Zn 0.250 0.921 0.549 1
# SG: Cmcm, No. 63
# Calculated formation energy in meV/atom: -204
# Crystal system: orthorhombic

Values of size of the total moment, in order: 0.0, 0.0, all in μB/f.u..